This record from Alexandria via LeMat-Bulk describes a geometry-optimized Pm4Sm15Tm structure. The functional is PBE.

Computed properties:
The calculation puts the mass density at 7.4 Mg/m³. The value obtained for the energy relative to the elements is 16 meV per atom. As for the symmetry: No. 123. For the density of states at the Fermi level, the calculation gives 1.439 states/eV/atom. The calculation puts the total DFT energy (no corrections) at -4.697 eV per atom.

Unit cell a=5.1294 b=5.1294 c=25.6212 alpha=90.00 beta=90.00 gamma=90.00
Last column: nearest neighbours and their distance in Å.
Fractional coordinates of all 20 atoms:
Pm 0.0000 0.0000 0.1988  12 Sm 3.63
Pm 0.0000 0.0000 0.3996  12 Sm 3.63
Pm 0.0000 0.0000 0.6004  12 Sm 3.63
Pm 0.0000 0.0000 0.8012  12 Sm 3.63
Sm 0.5000 0.5000 0.0000  8 Sm 3.60, 4 Tm 3.63
Sm 0.5000 0.5000 0.1985  4 Pm 3.63, 8 Sm 3.63-3.64
Sm 0.5000 0.5000 0.3997  4 Pm 3.63, 8 Sm 3.63
Sm 0.5000 0.5000 0.6003  4 Pm 3.63, 8 Sm 3.63
Sm 0.5000 0.5000 0.8015  4 Pm 3.63, 8 Sm 3.63-3.64
Sm 0.5000 0.0000 0.0984  8 Sm 3.60-3.63, 2 Tm 3.60, 2 Pm 3.63
Sm 0.5000 0.0000 0.2993  8 Sm 3.63-3.64, 4 Pm 3.63
Sm 0.5000 0.0000 0.5000  8 Sm 3.63, 4 Pm 3.63
Sm 0.5000 0.0000 0.7007  8 Sm 3.63-3.64, 4 Pm 3.63
Sm 0.5000 0.0000 0.9016  8 Sm 3.60-3.63, 2 Tm 3.60, 2 Pm 3.63
Sm 0.0000 0.5000 0.0984  2 Tm 3.60, 8 Sm 3.60-3.63, 2 Pm 3.63
Sm 0.0000 0.5000 0.2993  8 Sm 3.63-3.64, 4 Pm 3.63
Sm 0.0000 0.5000 0.5000  8 Sm 3.63, 4 Pm 3.63
Sm 0.0000 0.5000 0.7007  8 Sm 3.63-3.64, 4 Pm 3.63
Sm 0.0000 0.5000 0.9016  2 Tm 3.60, 8 Sm 3.60-3.63, 2 Pm 3.63
Tm 0.0000 0.0000 0.0000  12 Sm 3.60-3.63

This record from Alexandria via LeMat-Bulk describes a geometry-optimized Ce6ZnAu3 structure. The functional is PBE.

Computed properties:
The calculation puts the mass density at 9.9 Mg/m³. The value obtained for the energy relative to the elements is -209 meV per atom. As for the symmetry: No. 12. For the density of states at the Fermi level, the calculation gives 2.627 states/eV/atom. The calculation puts the total DFT energy (no corrections) at -4.880 eV per atom.

Unit cell a=7.8883 b=6.3605 c=6.3605 alpha=58.75 beta=70.36 gamma=70.36
Last column: nearest neighbours and their distance in Å.
Fractional coordinates of all 10 atoms:
Ce 0.3279 0.1270 0.5723  2 Ce 2.78, 1 Zn 2.88, 1 Au 3.02
Ce 0.6721 0.4277 0.8730  2 Ce 2.78, 1 Zn 2.88, 1 Au 3.02
Ce 0.6721 0.8730 0.4277  2 Ce 2.78, 1 Zn 2.88, 1 Au 3.02
Ce 0.3279 0.5723 0.1270  2 Ce 2.78, 1 Zn 2.88, 1 Au 3.02
Ce 0.0907 0.6800 0.6800  1 Zn 3.07, 2 Au 3.13-3.34
Ce 0.9093 0.3200 0.3200  1 Zn 3.07, 2 Au 3.13-3.34
Zn 0.5000 0.5000 0.5000  6 Ce 2.88-3.07
Au 0.3074 0.1032 0.1032  2 Au 3.02-3.05, 5 Ce 3.12-3.25
Au 0.6926 0.8968 0.8968  2 Au 3.02-3.05, 5 Ce 3.12-3.25
Au 0.0000 0.0000 0.0000  6 Ce 3.02-3.34, 2 Au 3.05

This record from Alexandria via LeMat-Bulk describes a geometry-optimized Re2TeSe structure. The functional is PBE.

Computed properties:
The calculation puts the mass density at 13.8 Mg/m³. As for the symmetry: No. 12. Its uncorrected formation energy is 660 meV per atom. For the density of states at the Fermi level, the calculation gives 0.747 states/eV/atom. The value obtained for the energy above the most stable polymorph in this dataset is 435 meV/atom. The calculation puts the total DFT energy (no corrections) at -7.221 eV per atom.

Unit cell a=4.4194 b=4.4194 c=5.5178 alpha=78.06 beta=78.06 gamma=41.36
Last column: nearest neighbours and their distance in Å.
Fractional coordinates of all 4 atoms:
Re 0.0023 0.0023 0.9628  3 Se 2.61-2.64, 3 Te 2.80-2.85, 2 Re 2.83
Re 0.4977 0.4977 0.5372  3 Se 2.61-2.64, 3 Te 2.80-2.85, 2 Re 2.83
Se 0.7500 0.7500 0.7500  6 Re 2.61-2.64
Te 0.2500 0.2500 0.2500  6 Re 2.80-2.85, 2 Te 3.12

This record from Alexandria via LeMat-Bulk describes a geometry-optimized Pa2Sn2Ru3 structure. The functional is PBE.

Computed properties:
The calculation puts the mass density at 10.8 Mg/m³. The value obtained for the energy relative to the elements is -417 meV per atom. As for the symmetry: No. 12. For the density of states at the Fermi level, the calculation gives 0.594 states/eV/atom. The value obtained for the energy above the most stable polymorph in this dataset is 80 meV/atom. The calculation puts the total DFT energy (no corrections) at -8.249 eV per atom.

Unit cell a=3.7072 b=7.0215 c=6.1247 alpha=87.12 beta=89.99 gamma=105.27
Last column: nearest neighbours and their distance in Å.
Fractional coordinates of all 7 atoms:
Pa 0.6368 0.2731 0.8722  4 Ru 2.58-2.71
Pa 0.3632 0.7269 0.1278  4 Ru 2.58-2.71
Sn 0.8931 0.7867 0.6479  4 Ru 2.66-2.78
Sn 0.1069 0.2133 0.3521  4 Ru 2.66-2.78
Ru 0.0000 0.0000 0.0000  2 Sn 2.66, 4 Pa 2.70-2.71
Ru 0.7583 0.5167 0.3204  2 Pa 2.58, 3 Sn 2.77-2.78, 2 Ru 2.88
Ru 0.2417 0.4833 0.6796  2 Pa 2.58, 3 Sn 2.77-2.78, 2 Ru 2.88

This record from Alexandria via LeMat-Bulk describes a geometry-optimized Y2Zn3 structure. The functional is PBE.

Computed properties:
The calculation puts the mass density at 5.5 Mg/m³. The value obtained for the energy relative to the elements is -199 meV per atom. As for the symmetry: No. 8. For the density of states at the Fermi level, the calculation gives 0.763 states/eV/atom. The calculation puts the total DFT energy (no corrections) at -3.549 eV per atom.

Unit cell a=6.1020 b=6.1020 c=9.3103 alpha=89.74 beta=89.74 gamma=40.38
Last column: nearest neighbours and their distance in Å.
Fractional coordinates of all 10 atoms:
Y 0.0114 0.0114 0.9235  4 Zn 2.89-2.96
Y 0.4236 0.4236 0.2331  4 Zn 2.88-3.18
Y 0.2369 0.2369 0.6208  7 Zn 2.92-3.26
Y 0.7080 0.7080 0.0748  5 Zn 2.95-3.06
Zn 0.7810 0.7810 0.3789  2 Zn 2.42-2.54
Zn 0.5020 0.5020 0.7116  4 Zn 2.42-2.70
Zn 0.1337 0.1337 0.2955  4 Zn 2.73-2.81
Zn 0.5832 0.5832 0.4713  4 Zn 2.42-2.65
Zn 0.9563 0.9563 0.5450  5 Zn 2.54-2.67
Zn 0.3305 0.3305 0.9122  1 Zn 2.70, 5 Y 2.92-2.96

This record from Alexandria via LeMat-Bulk describes a geometry-optimized Zr4GaCo structure. The functional is PBE.

Computed properties:
The calculation puts the mass density at 7.0 Mg/m³. The value obtained for the energy relative to the elements is -339 meV per atom. As for the symmetry: No. 124. For the density of states at the Fermi level, the calculation gives 1.678 states/eV/atom. The calculation puts the total DFT energy (no corrections) at -7.726 eV per atom.

Unit cell a=5.4447 b=6.5730 c=6.5730 alpha=90.00 beta=90.00 gamma=90.00
Last column: nearest neighbours and their distance in Å.
Fractional coordinates of all 12 atoms:
Zr 0.0000 0.1744 0.6512  2 Co 2.72, 2 Ga 2.90, 1 Zr 3.03
Zr 0.0000 0.8256 0.3488  2 Co 2.72, 2 Ga 2.90, 1 Zr 3.03
Zr 0.0000 0.3488 0.1744  2 Co 2.72, 2 Ga 2.90, 1 Zr 3.03
Zr 0.0000 0.6512 0.8256  2 Co 2.72, 2 Ga 2.90, 1 Zr 3.03
Zr 0.5000 0.8256 0.6512  2 Co 2.72, 2 Ga 2.90, 1 Zr 3.03
Zr 0.5000 0.1744 0.3488  2 Co 2.72, 2 Ga 2.90, 1 Zr 3.03
Zr 0.5000 0.6512 0.1744  2 Co 2.72, 2 Ga 2.90, 1 Zr 3.03
Zr 0.5000 0.3488 0.8256  2 Co 2.72, 2 Ga 2.90, 1 Zr 3.03
Ga 0.2500 0.0000 0.0000  2 Ga 2.72, 8 Zr 2.90
Ga 0.7500 0.0000 0.0000  2 Ga 2.72, 8 Zr 2.90
Co 0.2500 0.5000 0.5000  2 Co 2.72, 8 Zr 2.72
Co 0.7500 0.5000 0.5000  2 Co 2.72, 8 Zr 2.72

This record from Alexandria via LeMat-Bulk describes a geometry-optimized Zr2CSe structure. The functional is PBE.

Computed properties:
The calculation puts the mass density at 5.3 Mg/m³. As for the symmetry: No. 122. Its uncorrected formation energy is -574 meV per atom. For the density of states at the Fermi level, the calculation gives 0.537 states/eV/atom. The calculation puts the total DFT energy (no corrections) at -8.025 eV per atom.

Unit cell a=5.6537 b=5.6537 c=6.6578 alpha=64.88 beta=64.88 gamma=90.00
Last column: nearest neighbours and their distance in Å.
Fractional coordinates of all 8 atoms:
C 0.5000 0.5000 0.0000  4 Zr 2.19
C 0.2500 0.7500 0.5000  4 Zr 2.19
Se 0.0000 0.0000 0.0000  4 Zr 2.66
Se 0.7500 0.2500 0.5000  4 Zr 2.66
Zr 0.5533 0.1250 0.2500  2 C 2.19
Zr 0.1967 0.6250 0.2500  2 C 2.19
Zr 0.3750 0.4467 0.7500  2 C 2.19
Zr 0.8750 0.8033 0.7500  2 C 2.19

This record from Alexandria via LeMat-Bulk describes a geometry-optimized ErMgBe structure. The functional is PBE.

Computed properties:
The calculation puts the mass density at 5.5 Mg/m³. The value obtained for the energy relative to the elements is 157 meV per atom. As for the symmetry: No. 69. For the density of states at the Fermi level, the calculation gives 0.453 states/eV/atom. The calculation puts the total DFT energy (no corrections) at -3.138 eV per atom.

Unit cell a=5.3640 b=5.3640 c=5.5339 alpha=104.47 beta=104.47 gamma=118.97
Last column: nearest neighbours and their distance in Å.
Fractional coordinates of all 6 atoms:
Er 0.6728 0.3272 0.0000  4 Be 2.86, 3 Er 3.08-3.19
Er 0.3272 0.6728 0.0000  4 Be 2.86, 3 Er 3.08-3.19
Mg 0.8371 0.8371 0.6741  4 Be 2.81, 1 Mg 3.14
Mg 0.1629 0.1629 0.3259  4 Be 2.81, 1 Mg 3.14
Be 0.7500 0.2500 0.5000  2 Be 2.72, 4 Mg 2.81, 4 Er 2.86
Be 0.2500 0.7500 0.5000  2 Be 2.72, 4 Mg 2.81, 4 Er 2.86

This record from Alexandria via LeMat-Bulk describes a geometry-optimized K2GeAsPt6 structure. The functional is PBE.

Computed properties:
The calculation puts the mass density at 10.6 Mg/m³. The value obtained for the energy relative to the elements is -307 meV per atom. As for the symmetry: No. 2. For the density of states at the Fermi level, the calculation gives 0.413 states/eV/atom. The calculation puts the total DFT energy (no corrections) at -5.078 eV per atom.

Unit cell a=6.7855 b=6.7380 c=6.7479 alpha=60.29 beta=59.80 gamma=89.96
Last column: nearest neighbours and their distance in Å.
Fractional coordinates of all 10 atoms:
K 0.7006 0.2989 0.5984  7 Pt 3.30-3.69, 1 As 3.31
K 0.2994 0.7011 0.4016  7 Pt 3.30-3.69, 1 As 3.31
Ge 0.0000 0.0000 0.0000  6 Pt 2.54-2.55
As 0.5000 0.5000 0.0000  6 Pt 2.47
Pt 0.2565 0.1413 0.4917  1 As 2.47, 1 Ge 2.54, 2 Pt 2.68
Pt 0.8580 0.7480 0.8843  1 As 2.47, 1 Ge 2.55, 3 Pt 2.68-2.77
Pt 0.2511 0.7421 0.8902  1 As 2.47, 1 Ge 2.54, 3 Pt 2.68-2.77
Pt 0.7489 0.2579 0.1098  1 As 2.47, 1 Ge 2.54, 3 Pt 2.68-2.77
Pt 0.1420 0.2520 0.1157  1 As 2.47, 1 Ge 2.55, 3 Pt 2.68-2.77
Pt 0.7435 0.8587 0.5083  1 As 2.47, 1 Ge 2.54, 2 Pt 2.68

This record from Alexandria via LeMat-Bulk describes a geometry-optimized La3Sm6Tl structure. The functional is PBE.

Computed properties:
The calculation puts the mass density at 7.3 Mg/m³. The value obtained for the energy relative to the elements is 53 meV per atom. As for the symmetry: No. 36. For the density of states at the Fermi level, the calculation gives 1.312 states/eV/atom. The calculation puts the total DFT energy (no corrections) at -4.493 eV per atom.

Unit cell a=6.4844 b=10.4086 c=10.4086 alpha=100.04 beta=90.00 gamma=90.00
Last column: nearest neighbours and their distance in Å.
Fractional coordinates of all 20 atoms:
La 0.4330 0.8900 0.7144  5 Sm 3.27-3.58, 1 Tl 3.40
La 0.9330 0.7144 0.8900  5 Sm 3.27-3.58, 1 Tl 3.40
La 0.1000 0.3581 0.6419  1 Tl 3.20, 2 Sm 3.52
La 0.6000 0.6419 0.3581  1 Tl 3.20, 2 Sm 3.52
La 0.9330 0.1100 0.2856  5 Sm 3.27-3.58, 1 Tl 3.40
La 0.4330 0.2856 0.1100  5 Sm 3.27-3.58, 1 Tl 3.40
Sm 0.1069 0.6741 0.5652  3 Sm 3.20-3.51, 3 La 3.27-3.52
Sm 0.6069 0.5652 0.6741  3 Sm 3.20-3.51, 3 La 3.27-3.52
Sm 0.3973 0.5897 0.9768  1 Tl 3.39, 2 Sm 3.40-3.61, 2 La 3.46-3.68
Sm 0.8973 0.9768 0.5897  1 Tl 3.39, 2 Sm 3.40-3.61, 2 La 3.46-3.68
Sm 0.2618 0.9537 0.0463  2 Tl 3.11-3.34, 1 Sm 3.43, 2 La 3.46
Sm 0.5946 0.2500 0.7500  1 Tl 3.20, 3 Sm 3.43-3.51
Sm 0.0946 0.7500 0.2500  1 Tl 3.20, 3 Sm 3.43-3.51
Sm 0.7618 0.0463 0.9537  2 Tl 3.11-3.34, 1 Sm 3.43, 2 La 3.46
Sm 0.3973 0.0232 0.4103  1 Tl 3.39, 2 Sm 3.40-3.61, 2 La 3.46-3.68
Sm 0.8973 0.4103 0.0232  1 Tl 3.39, 2 Sm 3.40-3.61, 2 La 3.46-3.68
Sm 0.1069 0.4348 0.3259  3 Sm 3.20-3.51, 3 La 3.27-3.52
Sm 0.6069 0.3259 0.4348  3 Sm 3.20-3.51, 3 La 3.27-3.52
Tl 0.1545 0.1587 0.8413  5 Sm 3.11-3.39, 3 La 3.20-3.40
Tl 0.6545 0.8413 0.1587  5 Sm 3.11-3.39, 3 La 3.20-3.40

This record from Alexandria via LeMat-Bulk describes a geometry-optimized RbThSe2 structure. The functional is PBE.

Computed properties:
The calculation puts the mass density at 6.9 Mg/m³. As for the symmetry: No. 123. Its uncorrected formation energy is -1481 meV per atom. For the density of states at the Fermi level, the calculation gives 0.497 states/eV/atom. The calculation puts the total DFT energy (no corrections) at -5.320 eV per atom.

Unit cell a=3.7123 b=3.7123 c=8.2939 alpha=90.00 beta=90.00 gamma=90.00
Last column: nearest neighbours and their distance in Å.
Fractional coordinates of all 4 atoms:
Se 0.0000 0.0000 0.7960  4 Th 3.12, 1 Se 3.38
Se 0.0000 0.0000 0.2040  4 Th 3.12, 1 Se 3.38
Rb 0.5000 0.5000 0.5000  8 Se 3.59, 4 Rb 3.71
Th 0.5000 0.5000 0.0000  8 Se 3.12

This record from Alexandria via LeMat-Bulk describes a geometry-optimized Ba8InIrPt2 structure. The functional is PBE.

Computed properties:
The calculation puts the mass density at 5.3 Mg/m³. The value obtained for the energy relative to the elements is -384 meV per atom. As for the symmetry: No. 10. For the density of states at the Fermi level, the calculation gives 0.603 states/eV/atom. The calculation puts the total DFT energy (no corrections) at -3.639 eV per atom.

Unit cell a=7.6910 b=7.5422 c=9.7555 alpha=90.00 beta=90.00 gamma=89.05
Last column: nearest neighbours and their distance in Å.
Fractional coordinates of all 12 atoms:
Ba 0.1780 0.7730 0.2225  1 Ir 3.07, 1 Pt 3.20
Ba 0.6824 0.7302 0.0000  1 Ir 3.21, 2 Pt 3.28
Ba 0.8220 0.2270 0.2226  1 Ir 3.07, 1 Pt 3.20
Ba 0.8220 0.2270 0.7775  1 Ir 3.07, 1 Pt 3.20
Ba 0.3176 0.2698 0.0000  1 Ir 3.21, 2 Pt 3.28
Ba 0.1780 0.7730 0.7774  1 Ir 3.07, 1 Pt 3.20
Ba 0.6555 0.7069 0.5000  2 Pt 3.18, 1 In 3.48
Ba 0.3445 0.2931 0.5000  2 Pt 3.18, 1 In 3.48
In 0.0000 0.0000 0.5000  6 Ba 3.47-3.48
Ir 0.0000 0.0000 0.0000  6 Ba 3.07-3.21
Pt 0.5000 0.5000 0.7553  6 Ba 3.18-3.28
Pt 0.5000 0.5000 0.2447  6 Ba 3.18-3.28